Entry 1:
Below is a geometry-optimized KCdCoSn2 structure, with properties calculated at the PBE-GGA level.

- Total magnetic moment: 0.1021 μB/atom
- Formation energy: -0.018 eV per atom
- Total DFT energy (no corrections): -3.442 eV per atom
- DOS(E_F): 4.45 states/eV/f.u.

a = 4.9762 Å, b = 4.9762 Å, c = 5.2113 Å
α = 90.00°, β = 90.00°, γ = 90.00°
With the nearest neighbours (Å) after each atom.
Space group P4/mmm (No. 123)
Symmetry-distinct sites (fractional):
K 0.0000 0.0000 0.0000 [1 per cell]  4 Cd 3.52, 8 Sn 3.60
Cd 0.5000 0.5000 0.0000 [1 per cell]  2 Co 2.61
Co 0.5000 0.5000 0.5000 [1 per cell]  4 Sn 2.49, 2 Cd 2.61
Sn 0.0000 0.5000 0.5000 [2 per cell]  2 Co 2.49


Entry 2:
Below is a geometry-optimized KTl2CdCo structure, with properties calculated at the PBE-GGA level.

- Total magnetic moment: 0.0001 μB/atom
- Formation energy: 0.055 eV per atom
- Total DFT energy (no corrections): -2.715 eV per atom
- DOS(E_F): 2.34 states/eV/f.u.

a = 5.1141 Å, b = 5.1141 Å, c = 5.2181 Å
α = 90.00°, β = 90.00°, γ = 90.00°
With the nearest neighbours (Å) after each atom.
Space group P4/mmm (No. 123)
Symmetry-distinct sites (fractional):
K 0.0000 0.0000 0.0000 [1 per cell]  4 Cd 3.62, 8 Tl 3.65
Tl 0.0000 0.5000 0.5000 [2 per cell]  2 Co 2.56
Cd 0.5000 0.5000 0.0000 [1 per cell]  2 Co 2.61
Co 0.5000 0.5000 0.5000 [1 per cell]  4 Tl 2.56, 2 Cd 2.61


Entry 3:
Below is a geometry-optimized K2YCdCo structure, with properties calculated at the PBE-GGA level.

- Total magnetic moment: 0.1077 μB/atom
- Formation energy: 0.610 eV per atom
- Total DFT energy (no corrections): -2.726 eV per atom
- DOS(E_F): 5.72 states/eV/f.u.

a = 6.1765 Å, b = 6.1765 Å, c = 4.9925 Å
α = 90.00°, β = 90.00°, γ = 90.00°
With the nearest neighbours (Å) after each atom.
Space group P4/mmm (No. 123)
Symmetry-distinct sites (fractional):
K 0.0000 0.5000 0.0000 [2 per cell]  2 Co 3.09
Y 0.0000 0.0000 0.5000 [1 per cell]  2 Co 2.50
Cd 0.5000 0.5000 0.5000 [1 per cell]  8 K 3.97, 4 Y 4.37
Co 0.0000 0.0000 0.0000 [1 per cell]  2 Y 2.50


Entry 4:
Below is a geometry-optimized KZnCd2Co structure, with properties calculated at the PBE-GGA level.

- Total magnetic moment: 0.0001 μB/atom
- Formation energy: 0.139 eV per atom
- Total DFT energy (no corrections): -2.122 eV per atom
- DOS(E_F): 3.00 states/eV/f.u.

a = 5.0938 Å, b = 5.0938 Å, c = 4.7621 Å
α = 90.00°, β = 90.00°, γ = 90.00°
With the nearest neighbours (Å) after each atom.
Space group P4/mmm (No. 123)
Symmetry-distinct sites (fractional):
K 0.0000 0.0000 0.0000 [1 per cell]  8 Cd 3.49, 4 Zn 3.60
Zn 0.5000 0.5000 0.0000 [1 per cell]  2 Co 2.38
Cd 0.0000 0.5000 0.5000 [2 per cell]  2 Co 2.55
Co 0.5000 0.5000 0.5000 [1 per cell]  2 Zn 2.38, 4 Cd 2.55


Entry 5:
Below is a geometry-optimized LaCdCo2 structure, with properties calculated at the PBE-GGA level.

- Total magnetic moment: 0.3696 μB/atom
- Formation energy: 0.015 eV per atom
- Total DFT energy (no corrections): -4.998 eV per atom
- DOS(E_F): 4.22 states/eV/f.u.

a = 3.9229 Å, b = 4.1710 Å, c = 9.6618 Å
α = 90.00°, β = 90.00°, γ = 90.00°
With the nearest neighbours (Å) after each atom.
Space group Amm2 (No. 38)
Symmetry-distinct sites (fractional):
La 0.0000 0.0000 0.0000 [2 per cell]  7 Co 2.83-3.01
Cd 0.5000 0.0000 0.2965 [2 per cell]  7 Co 2.84-2.99
Co 0.0000 0.0000 0.7071 [2 per cell]  2 Co 2.23
Co 0.5000 0.0000 0.5974 [2 per cell]  2 Co 2.23


Entry 6:
Below is a geometry-optimized LaCdCo2 structure, with properties calculated at the PBE-GGA level.

- Total magnetic moment: 0.7359 μB/atom
- Formation energy: 0.428 eV per atom
- Total DFT energy (no corrections): -4.585 eV per atom
- DOS(E_F): 6.43 states/eV/f.u.

a = 6.8463 Å, b = 6.8463 Å, c = 6.8463 Å
α = 90.00°, β = 90.00°, γ = 90.00°
With the nearest neighbours (Å) after each atom.
Space group F-43m (No. 216)
Symmetry-distinct sites (fractional):
La 0.0000 0.0000 0.0000 [4 per cell]  4 Cd 2.96, 4 Co 2.96
Cd 0.2500 0.2500 0.7500 [4 per cell]  4 Co 2.96, 4 La 2.96
Co 0.0000 0.0000 0.5000 [4 per cell]  4 Co 2.96, 4 Cd 2.96
Co 0.2500 0.2500 0.2500 [4 per cell]  4 La 2.96, 4 Co 2.96


Entry 7:
Below is a geometry-optimized La5Cd2Co2 structure, with properties calculated at the PBE-GGA level.

- Total magnetic moment: 0.0000 μB/atom
- Formation energy: -0.148 eV per atom
- Total DFT energy (no corrections): -4.668 eV per atom
- DOS(E_F): 8.90 states/eV/f.u.

a = 15.8116 Å, b = 5.5621 Å, c = 5.9624 Å
α = 90.00°, β = 101.28°, γ = 90.00°
With the nearest neighbours (Å) after each atom.
Space group C2/m (No. 12)
Symmetry-distinct sites (fractional):
La 0.0000 0.0000 0.0000 [2 per cell]  2 Co 2.56
La 0.1613 0.5000 0.9370 [4 per cell]  3 Co 2.75-2.88
La 0.1724 0.0000 0.5447 [4 per cell]  2 Co 2.86-3.11
Cd 0.0610 0.5000 0.3587 [4 per cell]  1 Cd 2.80
Co 0.1648 0.0000 0.0617 [4 per cell]  3 La 2.56-2.86


Entry 8:
Below is a geometry-optimized La4CdCo2 structure, with properties calculated at the PBE-GGA level.

- Total magnetic moment: 0.0000 μB/atom
- Formation energy: -0.147 eV per atom
- Total DFT energy (no corrections): -5.123 eV per atom
- DOS(E_F): 6.29 states/eV/f.u.

a = 4.7832 Å, b = 11.7450 Å, c = 13.7372 Å
α = 90.00°, β = 90.00°, γ = 90.00°
With the nearest neighbours (Å) after each atom.
Space group Cmcm (No. 63)
Symmetry-distinct sites (fractional):
La 0.0000 0.0000 0.0000 [4 per cell]  4 Co 2.79
La 0.0000 0.2804 0.1019 [8 per cell]  1 Co 2.50
La 0.0000 0.4062 0.7500 [4 per cell]  2 Co 2.73
Cd 0.0000 0.1049 0.7500 [4 per cell]  9 La 3.34-3.65
Co 0.0000 0.3945 0.5516 [8 per cell]  4 La 2.50-2.79